Entry 1:
Compound: Ta2Ti2Cu3O12
Source: Alexandria
Functional: SCAN
Structure: PBEsol geometry

Space group: No. 12
Calculated total energy, eV per atom: -17.44
Formation energy from raw total energies, eV/atom: -2.409
Spin magnetization, Bohr magnetons per cell: 3.0

POSCAR file:
```
Ta2Ti2Cu3O12
1.0
-5.130 -1.916 3.322
0.138 -3.087 -5.610
5.353 -1.352 3.338
Ta Ti Cu O
2 2 3 12
direct
0.500 0.000 0.000
0.000 0.500 0.000
0.500 0.500 0.500
0.000 0.000 0.500
0.500 0.500 0.000
0.000 0.500 0.500
0.500 0.000 0.500
0.183 0.312 0.496
0.817 0.688 0.504
0.822 0.311 0.133
0.178 0.689 0.867
0.508 0.819 0.688
0.492 0.181 0.312
0.869 0.180 0.688
0.131 0.820 0.312
0.311 0.131 0.818
0.689 0.869 0.182
0.313 0.492 0.182
0.687 0.508 0.818
```

Entry 2:
Compound: Rb2BaHgBr
Source: Alexandria
Functional: SCAN
Structure: PBEsol geometry

Space group: No. 123
Calculated total energy, eV per atom: -33.80
Formation energy from raw total energies, eV/atom: -0.070
Spin magnetization, Bohr magnetons per cell: 2.1

POSCAR file:
```
Rb2BaHgBr
1.0
6.194 0.000 0.000
0.000 7.981 0.000
0.000 0.000 7.981
Br Hg Rb Ba
1 1 2 1
direct
0.500 0.500 0.500
0.500 0.000 0.000
0.000 0.000 0.500
0.000 0.500 0.000
0.000 0.000 0.000
```

Entry 3:
Compound: CdSbS2Br
Source: Alexandria
Functional: SCAN
Structure: PBEsol geometry

Space group: No. 12
Calculated total energy, eV per atom: -21.86
Formation energy from raw total energies, eV/atom: -0.579
Spin magnetization, Bohr magnetons per cell: 0.0

POSCAR file:
```
CdSbS2Br
1.0
-0.945 -1.668 -3.420
-2.380 -3.983 4.848
-8.070 4.955 -0.186
Sb S Br Cd
2 4 2 2
direct
0.281 0.562 0.691
0.719 0.438 0.309
0.914 0.829 0.742
0.353 0.706 0.447
0.647 0.294 0.553
0.086 0.171 0.258
0.362 0.723 0.076
0.638 0.277 0.924
0.000 0.000 0.000
0.000 0.000 0.500
```